1.
A geometry-optimized Cd7Sn2Hg3 structure, computed with PBE.

Space-group type: P2/m, No. 10
E, eV/cell: -14.8
Total magnetization, μB/f.u.: 0.00

Geometry as extended XYZ:
```
12
Lattice="5.8329 0.0000 0.0000 0.0000 3.2274 0.0000 -1.8086 0.0000 15.6263" Properties=species:S:1:pos:R:3 pbc="T T T"
Cd 0.0000 0.0000 0.0000
Cd -0.9478 1.6137 13.1702
Cd 0.5413 1.6137 8.1606
Cd 2.0233 0.0000 2.5252
Cd 2.0009 0.0000 13.1011
Cd 3.4829 1.6137 7.4657
Cd 4.9720 1.6137 2.4561
Sn 1.0175 1.6137 5.1401
Sn 3.0067 1.6137 10.4862
Hg 0.0203 0.0000 10.6722
Hg 2.9164 1.6137 0.0000
Hg 4.0039 0.0000 4.9541
```


2.
A geometry-optimized CdSn2Hg8 structure, computed with PBE.

Space-group type: P-1, No. 2
E, eV/cell: -10.8
Total magnetization, μB/f.u.: 0.00

Geometry as extended XYZ:
```
11
Lattice="4.6005 0.0000 0.0000 -0.0073 6.2966 0.0000 -2.0237 -2.6515 10.4773" Properties=species:S:1:pos:R:3 pbc="T T T"
Cd 0.0000 0.0000 0.0000
Sn 0.1382 2.8058 4.9991
Sn 2.4312 0.8394 5.4782
Hg 0.0527 3.7357 1.6959
Hg 0.1275 0.4747 2.9747
Hg 0.1701 -0.9111 6.7690
Hg 0.2347 1.8934 9.5124
Hg 2.3347 1.7517 0.9649
Hg 2.3993 4.5562 3.7083
Hg 2.4419 3.1705 7.5027
Hg 2.5167 -0.0906 8.7814
```


3.
A geometry-optimized Cd2SnHg structure, computed with PBE.

Space-group type: R3m, No. 160
E, eV/cell: -5.7
Total magnetization, μB/f.u.: 0.00

Geometry as extended XYZ:
```
4
Lattice="2.1043 1.2149 7.1344 -2.1043 1.2149 7.1344 0.0000 -2.4298 7.1344" Properties=species:S:1:pos:R:3 pbc="T T T"
Cd 0.0000 0.0000 0.0000
Cd 0.0000 0.0000 3.7135
Sn 0.0000 0.0000 8.9795
Hg 0.0000 0.0000 12.5886
```


4.
A geometry-optimized CdSnHg structure, computed with PBE.

Space-group type: C2/m, No. 12
E, eV/cell: -10.1
Total magnetization, μB/f.u.: 0.00

Geometry as extended XYZ:
```
6
Lattice="5.8083 -1.6200 0.0000 5.8083 1.6200 0.0000 -3.7980 0.0000 8.1307" Properties=species:S:1:pos:R:3 pbc="T T T"
Cd 1.5730 0.0000 0.1919
Cd 6.2457 0.0000 7.9388
Sn -0.5048 0.0000 5.2607
Sn 8.3234 0.0000 2.8699
Hg 2.5106 0.0000 5.8323
Hg 5.3080 0.0000 2.2984
```


5.
A geometry-optimized Cd12SnHg5 structure, computed with PBE.

Space-group type: C2/m, No. 12
E, eV/cell: -16.0
Total magnetization, μB/f.u.: 0.00

Geometry as extended XYZ:
```
18
Lattice="4.3984 -8.5648 0.0000 4.3984 8.5648 0.0000 -0.0175 0.0000 5.7399" Properties=species:S:1:pos:R:3 pbc="T T T"
Cd 2.9350 5.7075 2.8730
Cd 1.4295 0.0000 0.0003
Cd 2.9168 2.8742 5.7370
Cd 5.8443 5.7075 2.8670
Cd 2.9288 0.0000 2.8681
Cd 5.8625 2.8742 0.0029
Cd 2.9168 -2.8742 5.7370
Cd 5.8505 0.0000 2.8718
Cd 2.9350 -5.7075 2.8730
Cd 5.8625 -2.8742 0.0029
Cd 7.3498 0.0000 5.7396
Cd 5.8443 -5.7075 2.8670
Sn 4.3984 0.0000 0.0000
Hg -0.0088 0.0000 2.8700
Hg 4.3984 5.7163 0.0000
Hg 4.3897 2.8112 2.8700
Hg 4.3897 -2.8112 2.8700
Hg 4.3984 -5.7163 0.0000
```


6.
A geometry-optimized Cd2SnHg structure, computed with PBE.

Space-group type: Fm-3m, No. 225
E, eV/cell: -5.8
Total magnetization, μB/f.u.: 0.00

Geometry as extended XYZ:
```
4
Lattice="0.0000 3.6846 3.6846 3.6846 0.0000 3.6846 3.6846 3.6846 0.0000" Properties=species:S:1:pos:R:3 pbc="T T T"
Cd 1.8423 1.8423 1.8423
Cd 5.5270 5.5270 5.5270
Sn 0.0000 0.0000 0.0000
Hg 3.6846 3.6846 3.6846
```


7.
A geometry-optimized Cd8Sn2Hg structure, computed with PBE.

Space-group type: C2/m, No. 12
E, eV/cell: -14.7
Total magnetization, μB/f.u.: 0.00

Geometry as extended XYZ:
```
11
Lattice="3.8036 -7.8361 0.0000 3.8036 7.8361 0.0000 -1.0450 0.0000 4.7788" Properties=species:S:1:pos:R:3 pbc="T T T"
Cd 0.9226 1.5757 2.9634
Cd 3.8036 4.7751 0.0000
Cd 0.9226 -1.5757 2.9634
Cd 2.7808 0.0000 0.9896
Cd 3.7814 0.0000 3.7893
Cd 5.6396 1.5757 1.8154
Cd 3.8036 -4.7751 0.0000
Cd 5.6396 -1.5757 1.8154
Sn 3.2811 3.2113 2.3894
Sn 3.2811 -3.2113 2.3894
Hg 0.0000 0.0000 0.0000
```


8.
A geometry-optimized Cd3SnHg6 structure, computed with PBE.

Space-group type: P-3m1, No. 164
E, eV/cell: -8.3
Total magnetization, μB/f.u.: 0.00

Geometry as extended XYZ:
```
10
Lattice="3.7092 0.0000 0.0000 -1.8546 3.2122 0.0000 0.0000 0.0000 21.8194" Properties=species:S:1:pos:R:3 pbc="T T T"
Cd 0.0000 0.0000 0.0000
Cd 0.0000 0.0000 6.5352
Cd 0.0000 0.0000 15.2842
Sn 0.0000 0.0000 10.9097
Hg 0.0000 2.1415 2.1728
Hg 0.0000 2.1415 8.6363
Hg 0.0000 2.1415 17.4221
Hg 1.8546 1.0707 4.3972
Hg 1.8546 1.0707 13.1831
Hg 1.8546 1.0707 19.6466
```


9.
A geometry-optimized Cd3SnHg structure, computed with PBE.

Space-group type: Pm-3m, No. 221
E, eV/cell: -5.8
Total magnetization, μB/f.u.: 0.00

Geometry as extended XYZ:
```
5
Lattice="5.7171 0.0000 0.0000 0.0000 5.7171 0.0000 0.0000 0.0000 5.7171" Properties=species:S:1:pos:R:3 pbc="T T T"
Cd 0.0000 0.0000 2.8585
Cd 0.0000 2.8585 0.0000
Cd 2.8585 0.0000 0.0000
Sn 0.0000 0.0000 0.0000
Hg 2.8585 2.8585 2.8585
```


10.
A geometry-optimized Cd8SnHg2 structure, computed with PBE.

Space-group type: C2/m, No. 12
E, eV/cell: -11.6
Total magnetization, μB/f.u.: 0.00

Geometry as extended XYZ:
```
11
Lattice="8.6014 -2.2540 0.0000 8.6014 2.2540 0.0000 -2.0593 0.0000 6.6874" Properties=species:S:1:pos:R:3 pbc="T T T"
Cd 0.2639 0.0000 1.4984
Cd 1.0118 0.0000 4.5965
Cd 4.2800 0.0000 3.9227
Cd 6.9383 0.0000 0.2511
Cd 8.2051 0.0000 6.4363
Cd 10.8634 0.0000 2.7647
Cd 14.1316 0.0000 2.0908
Cd 14.8795 0.0000 5.1890
Sn 7.5717 0.0000 3.3437
Hg 3.5420 0.0000 0.9457
Hg 11.6014 0.0000 5.7416
```


11.
A geometry-optimized Cd8Sn2Hg3 structure, computed with PBE.

Space-group type: C2/m, No. 12
E, eV/cell: -15.4
Total magnetization, μB/f.u.: 0.00

Geometry as extended XYZ:
```
13
Lattice="6.7728 -4.4673 0.0000 6.7728 4.4673 0.0000 -0.0715 0.0000 5.4793" Properties=species:S:1:pos:R:3 pbc="T T T"
Cd 0.7601 0.0000 1.3942
Cd 4.4088 1.9753 4.4912
Cd 4.2680 0.0000 1.7653
Cd 9.0653 1.9753 0.9881
Cd 4.4088 -1.9753 4.4912
Cd 9.2061 0.0000 3.7140
Cd 9.0653 -1.9753 0.9881
Cd 12.7140 0.0000 4.0851
Sn 2.2061 0.0000 4.2111
Sn 11.2679 0.0000 1.2682
Hg 6.7370 1.7696 2.7397
Hg 6.7728 0.0000 0.0000
Hg 6.7370 -1.7696 2.7397
```


12.
A geometry-optimized Cd3SnHg4 structure, computed with PBE.

Space-group type: Pmn2_1, No. 31
E, eV/cell: -15.4
Total magnetization, μB/f.u.: 0.00

Geometry as extended XYZ:
```
16
Lattice="10.2350 0.0000 0.0000 0.0000 6.2192 0.0000 0.0000 0.0000 6.2655" Properties=species:S:1:pos:R:3 pbc="T T T"
Cd 0.0000 0.2863 0.0000
Cd 2.4668 1.6796 4.6445
Cd 2.6507 4.5396 1.5118
Cd 5.1175 5.9329 3.1327
Cd 7.5843 4.5396 1.5118
Cd 7.7682 1.6796 4.6445
Sn 0.0000 3.4921 3.0187
Sn 5.1175 2.7271 6.1514
Hg 0.0000 0.3276 3.1504
Hg 0.0000 3.4255 6.1811
Hg 2.5346 1.4252 1.5039
Hg 2.5829 4.7940 4.6367
Hg 5.1175 2.7937 3.0484
Hg 5.1175 5.8916 0.0176
Hg 7.6521 4.7940 4.6367
Hg 7.7004 1.4252 1.5039
```